# Mn5Sb3O16 PBE+U optimized geometry
# SG	Cm
# electronic total energy	-6.719	eV per atom
# magnetization	18.0	μB/f.u.
data_Mn5Sb3O16
_cell_length_a 6.107
_cell_length_b 6.107
_cell_length_c 9.176
_cell_angle_alpha 87.84
_cell_angle_beta 87.84
_cell_angle_gamma 59.21
_symmetry_space_group_name_H-M 'P 1'
_symmetry_Int_Tables_number 1
_symmetry_space_group_name_Hall 'P 1'
loop_
_atom_site_label
_atom_site_fract_x
_atom_site_fract_y
_atom_site_fract_z
_atom_site_occupancy
Sb1 0.825 0.332 0.212 1
O1 0.471 0.471 0.834 1
Mn1 0.831 0.831 0.212 1
O2 0.511 0.511 0.341 1
Mn2 0.341 0.341 0.986 1
O3 0.338 0.835 0.605 1
O4 0.655 0.655 0.088 1
O5 0.835 0.338 0.605 1
O6 0.945 0.520 0.338 1
O7 0.161 0.680 0.105 1
O8 0.040 0.485 0.832 1
O9 0.680 0.161 0.105 1
O10 0.008 0.008 0.329 1
O11 0.844 0.844 0.605 1
Mn3 0.672 0.672 0.493 1
O12 0.520 0.945 0.338 1
O13 0.485 0.040 0.832 1
Mn4 0.666 0.164 0.709 1
Sb2 0.332 0.825 0.212 1
O14 0.171 0.171 0.101 1
Sb3 0.168 0.168 0.710 1
Mn5 0.164 0.666 0.709 1
O15 0.994 0.994 0.813 1
O16 0.342 0.342 0.600 1